[1]
A plane-wave DFT calculation with PBE was carried out for Pr2USe4 after structural relaxation.

a b c (Å): 4.0957 14.0792 14.0186
angles (deg): 90.00 90.00 90.00
Closest atoms and distances in Å follow each position.
Space group Cmcm (No. 63)
Asymmetric unit:
Pr: 0.0000 0.1332 0.0697 [8 per cell]  6 Se 2.94-3.04
U: 0.0000 0.3766 0.2500 [4 per cell]  6 Se 2.91-3.01
Se: 0.0000 0.0238 0.2500 [4 per cell]  2 U 2.91, 2 Pr 2.96
Se: 0.0000 0.2223 0.6281 [8 per cell]  3 Pr 3.00-3.04, 2 U 3.01
Se: 0.0000 0.5000 0.0000 [4 per cell]  4 Pr 2.94

Calculated values
ΔE to the lowest computed polymorph	43.9	meV per atom
electronic total energy	-6.51	eV/atom
energy relative to the elements, uncorrected	-10.8	eV/f.u.
V	808.4	Å³/cell

***

[2]
A plane-wave DFT calculation with PBE was carried out for Pr2USe4 after structural relaxation.

a b c (Å): 8.9191 8.9191 8.8793
angles (deg): 90.00 90.00 90.00
Closest atoms and distances in Å follow each position.
Space group I-42d (No. 122)
Asymmetric unit:
Pr: 0.1247 0.7500 0.1250 [8 per cell]  8 Se 3.02-3.19
U: 0.0000 0.0000 0.5000 [4 per cell]  8 Se 2.99-3.13
Se: 0.0749 0.6764 0.4552 [16 per cell]  2 U 2.99-3.13, 4 Pr 3.02-3.19, 1 Se 3.29

Calculated values
ΔE to the lowest computed polymorph	0.0	meV per atom
electronic total energy	-6.55	eV/atom
energy relative to the elements, uncorrected	-11.1	eV/f.u.
V	706.3	Å³/cell

***

[3]
A plane-wave DFT calculation with PBE was carried out for PrU3Se6 after structural relaxation.

a b c (Å): 11.6011 4.0846 12.0647
angles (deg): 90.00 108.62 90.00
Closest atoms and distances in Å follow each position.
Space group P2_1/m (No. 11)
Asymmetric unit:
Pr: 0.0484 0.2500 0.1963 [2 per cell]  8 Se 3.08-3.15
U: 0.1522 0.2500 0.5810 [2 per cell]  6 Se 2.83-2.89
U: 0.3177 0.7500 0.0050 [2 per cell]  7 Se 2.90-3.04
U: 0.4398 0.2500 0.3342 [2 per cell]  6 Se 2.84-2.89
Se: 0.0872 0.7500 0.4024 [2 per cell]  3 U 2.85-2.89, 2 Pr 3.14
Se: 0.1218 0.2500 0.9671 [2 per cell]  2 U 2.98, 3 Pr 3.08-3.14
Se: 0.1970 0.7500 0.7523 [2 per cell]  3 U 2.83-2.92, 1 Pr 3.10
Se: 0.2634 0.7500 0.2286 [2 per cell]  3 U 2.88-2.96, 2 Pr 3.15
Se: 0.3879 0.2500 0.5531 [2 per cell]  4 U 2.86-2.89
Se: 0.4921 0.2500 0.1198 [2 per cell]  4 U 2.84-3.04

Calculated values
electronic total energy	-7.25	eV/atom
energy relative to the elements, uncorrected	-12.9	eV/f.u.
V	541.8	Å³/cell

***

[4]
A plane-wave DFT calculation with PBE was carried out for Pr5USe6 after structural relaxation.

a b c (Å): 7.3397 12.6591 7.3555
angles (deg): 90.00 109.40 90.00
Closest atoms and distances in Å follow each position.
Space group C2/m (No. 12)
Asymmetric unit:
Pr: 0.0000 0.0000 0.0000 [2 per cell]  6 Se 2.99-3.05
Pr: 0.0000 0.1677 0.5000 [4 per cell]  6 Se 2.99-3.03
Pr: 0.0000 0.3254 0.0000 [4 per cell]  6 Se 3.00-3.04
U: 0.0000 0.5000 0.5000 [2 per cell]  6 Se 2.90-2.94
Se: 0.2412 0.5000 0.2502 [4 per cell]  1 U 2.94, 5 Pr 3.03-3.05
Se: 0.2428 0.3385 0.7430 [8 per cell]  1 U 2.90, 5 Pr 2.99-3.01

Calculated values
electronic total energy	-6.36	eV/atom
energy relative to the elements, uncorrected	-20.3	eV/f.u.
V	644.6	Å³/cell

***

[5]
A plane-wave DFT calculation with PBE was carried out for PrU6Se8 after structural relaxation.

a b c (Å): 8.7237 8.7237 17.3030
angles (deg): 90.00 90.00 120.00
Closest atoms and distances in Å follow each position.
Space group R-3 (No. 148, hexagonal axes)
Asymmetric unit:
Pr: 0.0000 0.0000 0.0000 [3 per cell]  6 Se 2.96
U: 0.9999 0.3796 0.0740 [18 per cell]  7 Se 2.89-3.04
Se: 0.0000 0.0000 0.3309 [6 per cell]  6 U 3.00-3.03
Se: 0.0057 0.7187 0.0937 [18 per cell]  5 U 2.89-3.04, 1 Pr 2.96

Calculated values
electronic total energy	-7.69	eV/atom
energy relative to the elements, uncorrected	-14.9	eV/f.u.
V	1140.4	Å³/cell

***

[6]
A plane-wave DFT calculation with PBE was carried out for PrU2Se4 after structural relaxation.

a b c (Å): 8.7768 8.7768 8.7949
angles (deg): 90.00 90.00 90.00
Closest atoms and distances in Å follow each position.
Space group I-42d (No. 122)
Asymmetric unit:
Pr: 0.0000 0.0000 0.0000 [4 per cell]  8 Se 3.00-3.14
U: 0.1269 0.7500 0.6250 [8 per cell]  8 Se 2.94-3.10
Se: 0.0784 0.6710 0.9467 [16 per cell]  4 U 2.94-3.10, 2 Pr 3.00-3.14, 1 Se 3.27

Calculated values
ΔE to the lowest computed polymorph	0.0	meV per atom
electronic total energy	-7.23	eV/atom
energy relative to the elements, uncorrected	-9.3	eV/f.u.
V	677.5	Å³/cell